# GGA-PBE Tb7NdMg4, optimized geometry
# - energy (eV/atom) = -3.4143
# - E_form (eV per formula unit) = 2.59
# - density of states at the Fermi level (states/eV/atom) = 1.230
# - SG = C2/m (12)
data_Tb7NdMg4
_chemical_formula_sum 'Tb7 Nd1 Mg4'
_cell_length_a 5.7408
_cell_length_b 9.8756
_cell_length_c 7.4326
_cell_angle_alpha 80.74
_cell_angle_beta 67.28
_cell_angle_gamma 73.10
_symmetry_space_group_name_H-M 'P 1'
_symmetry_Int_Tables_number 1
_symmetry_space_group_name_Hall 'P 1'
loop_
_atom_site_label
_atom_site_fract_x
_atom_site_fract_y
_atom_site_fract_z
Tb1 0.7805 0.8795 0.5596
Tb2 0.2195 0.1205 0.4404
Tb3 0.0568 0.6185 0.2678
Tb4 0.9432 0.3815 0.7322
Tb5 0.3249 0.6136 0.7366
Tb6 0.5000 0.0000 0.0000
Tb7 0.6751 0.3864 0.2634
Nd1 0.0000 0.0000 0.0000
Mg1 0.5650 0.2171 0.6529
Mg2 0.4350 0.7829 0.3471
Mg3 0.6864 0.6652 0.9620
Mg4 0.3136 0.3348 0.0380